## LiGaCu3 (PBE-GGA)

Data for a geometry-optimized LiGaCu3 structure.

Cell and atoms, written as CIF:
```
data_LiGaCu3
_chemical_formula_sum 'Li2 Ga2 Cu6'
_symmetry_space_group_name_H-M 'P 1'
_symmetry_Int_Tables_number 1
_cell_length_a 4.259
_cell_length_b 5.244
_cell_length_c 6.320
_cell_angle_alpha 90.00
_cell_angle_beta 70.24
_cell_angle_gamma 90.00
loop_
_symmetry_equiv_pos_as_xyz
'x,y,z'
loop_
_atom_site_label
_atom_site_fract_x
_atom_site_fract_y
_atom_site_fract_z
Li1 0.389 0.250 0.720
Li2 0.611 0.750 0.280
Cu1 0.816 0.497 0.869
Cu2 0.004 0.250 0.488
Cu3 0.816 0.003 0.869
Cu4 0.184 0.997 0.131
Cu5 0.184 0.503 0.131
Cu6 0.996 0.750 0.512
Ga1 0.366 0.750 0.768
Ga2 0.634 0.250 0.232
```

Computed properties:
* distance to the lowest polymorph of the same formula: 50 meV per atom
* final energy: -3.544 eV per atom
* E_form: -9.42 kJ/mol of atoms